## Er2MnOs (PBE-GGA)

Data for crystalline Er2MnOs at its relaxed geometry.

Values from the calculation:
DOS at the Fermi energy ... 2.6 states/eV/cell
Distance to the lowest polymorph of the same formula ... 0.013 eV/atom
DFT total energy ... -0.27273 Ha/atom
Calculated formation energy ... -0.040 eV/atom
Density ... 11.7 g/cm³

Unit cell a=3.416 b=3.416 c=7.031 alpha=90.00 beta=90.00 gamma=90.00
Positions (direct):
1 Er 0.000 0.000 0.233
2 Er 0.000 0.000 0.767
3 Mn 0.500 0.500 0.500
4 Os 0.500 0.500 0.000